[1]
Density functional theory data (GGA-PBE) for an optimized crystal structure of VAsI.

Cell lengths 3.532, 6.616, 7.209 Å; angles 72.64, 89.73, 74.52 degrees
Positions (direct):
V 0.106 0.287 0.051
V 0.894 0.713 0.949
As 0.491 0.521 0.804
As 0.509 0.479 0.196
I 0.222 0.060 0.765
I 0.778 0.940 0.235

Values from the calculation:
Formation energy from raw total energies, eV per atom: -0.19
Polymorph energy (0 for the lowest one), kJ/mol of formula units: 0



[2]
Density functional theory data (GGA-PBE) for an optimized crystal structure of Zr2Tl2Te.

Cell lengths 8.203, 8.203, 8.203 Å; angles 151.19, 151.19, 41.20 degrees
Positions (direct):
Zr 0.096 0.096 0.000
Zr 0.904 0.904 0.000
Tl 0.250 0.750 0.500
Tl 0.750 0.250 0.500
Te 0.500 0.500 0.000

Values from the calculation:
Formation energy from raw total energies, eV per atom: 0.01
Polymorph energy (0 for the lowest one), kJ/mol of formula units: 112



[3]
Density functional theory data (GGA-PBE) for an optimized crystal structure of Li2CoSnC.

Cell lengths 5.281, 5.281, 4.106 Å; angles 90.00, 90.00, 90.00 degrees
Positions (direct):
Li 0.000 0.500 0.000
Li 0.500 0.000 0.000
Co 0.000 0.000 0.500
Sn 0.500 0.500 0.000
C 0.500 0.500 0.500

Values from the calculation:
DFT formation energy, meV per atom: 1520



[4]
Density functional theory data (GGA-PBE) for an optimized crystal structure of Zr2TaTeS.

Cell lengths 5.318, 5.318, 4.894 Å; angles 90.00, 90.00, 90.00 degrees
Positions (direct):
Zr 0.000 0.500 0.000
Zr 0.500 0.000 0.000
Ta 0.000 0.000 0.500
Te 0.500 0.500 0.000
S 0.500 0.500 0.500

Values from the calculation:
Formation energy from raw total energies, eV per atom: 1.28



[5]
Density functional theory data (GGA-PBE) for an optimized crystal structure of CaPbC2.

Cell lengths 5.705, 5.705, 5.705 Å; angles 111.34, 111.34, 105.80 degrees
Positions (direct):
Ca 0.000 0.000 0.000
Ca 0.750 0.250 0.500
Pb 0.250 0.750 0.500
Pb 0.500 0.500 0.000
C 0.157 0.125 0.532
C 0.375 0.843 0.968
C 0.593 0.625 0.468
C 0.875 0.407 0.032

Values from the calculation:
DFT formation energy, meV per atom: 1411



[6]
Density functional theory data (GGA-PBE) for an optimized crystal structure of SrY2Br2.

Cell lengths 8.209, 8.209, 8.209 Å; angles 147.68, 147.68, 46.36 degrees
Positions (direct):
Sr 0.000 0.000 0.000
Y 0.250 0.750 0.500
Y 0.750 0.250 0.500
Br 0.392 0.392 0.000
Br 0.608 0.608 0.000

Values from the calculation:
Formation energy from raw total energies, eV per atom: -0.64



[7]
Density functional theory data (GGA-PBE) for an optimized crystal structure of GdTmPdAu.

Cell lengths 5.023, 5.023, 5.023 Å; angles 60.00, 60.00, 60.00 degrees
Positions (direct):
Gd 0.000 0.000 0.000
Tm 0.500 0.500 0.500
Pd 0.250 0.250 0.250
Au 0.750 0.750 0.750

Values from the calculation:
DFT formation energy, meV per atom: -856



[8]
Density functional theory data (GGA-PBE) for an optimized crystal structure of CdPBr2.

Cell lengths 7.311, 7.311, 7.311 Å; angles 148.71, 148.71, 44.84 degrees
Positions (direct):
Cd 0.000 0.000 0.000
P 0.250 0.750 0.500
Br 0.500 0.500 0.000
Br 0.750 0.250 0.500

Values from the calculation:
Formation energy from raw total energies, eV per atom: 0.29
Polymorph energy (0 for the lowest one), kJ/mol of formula units: 195



[9]
Density functional theory data (GGA-PBE) for an optimized crystal structure of AcPr3Y2Se6.

Cell lengths 7.348, 7.348, 7.366 Å; angles 99.61, 99.61, 120.17 degrees
Positions (direct):
Ac 0.000 0.000 0.000
Pr 0.158 0.842 0.500
Pr 0.500 0.500 0.500
Pr 0.842 0.158 0.500
Y 0.333 0.667 0.000
Y 0.667 0.333 0.000
Se 0.082 0.432 0.245
Se 0.272 0.272 0.764
Se 0.432 0.082 0.245
Se 0.568 0.918 0.755
Se 0.728 0.728 0.236
Se 0.918 0.568 0.755

Values from the calculation:
Formation energy from raw total energies, eV per atom: -1.81



[10]
Density functional theory data (GGA-PBE) for an optimized crystal structure of TcHRuRh2.

Cell lengths 3.843, 3.843, 3.995 Å; angles 90.00, 90.00, 90.00 degrees
Positions (direct):
Tc 0.000 0.000 0.000
H 0.000 0.000 0.500
Ru 0.500 0.500 0.000
Rh 0.000 0.500 0.500
Rh 0.500 0.000 0.500

Values from the calculation:
Polymorph energy (0 for the lowest one), kJ/mol of formula units: 3



[11]
Density functional theory data (GGA-PBE) for an optimized crystal structure of Li2TiSe3.

Cell lengths 6.710, 6.710, 7.283 Å; angles 105.73, 105.73, 48.98 degrees
Positions (direct):
Li 0.163 0.170 0.083
Li 0.170 0.163 0.583
Li 0.830 0.837 0.417
Li 0.837 0.830 0.917
Ti 0.425 0.575 0.750
Ti 0.575 0.425 0.250
Se 0.001 0.999 0.750
Se 0.347 0.349 0.424
Se 0.349 0.347 0.924
Se 0.651 0.653 0.076
Se 0.653 0.651 0.576
Se 0.999 0.001 0.250

Values from the calculation:
Formation energy from raw total energies, eV per atom: -1.15
Polymorph energy (0 for the lowest one), kJ/mol of formula units: 11



[12]
Density functional theory data (GGA-PBE) for an optimized crystal structure of Pr4NdTm4.

Cell lengths 8.085, 8.085, 8.085 Å; angles 95.66, 95.66, 143.40 degrees
Positions (direct):
Pr 0.000 0.329 0.329
Pr 0.000 0.671 0.671
Pr 0.329 0.000 0.329
Pr 0.671 0.000 0.671
Nd 0.000 0.000 0.000
Tm 0.334 0.334 0.667
Tm 0.334 0.666 0.000
Tm 0.666 0.334 0.000
Tm 0.666 0.666 0.333

Values from the calculation:
DFT formation energy, meV per atom: 23
Polymorph energy (0 for the lowest one), kJ/mol of formula units: 0



[13]
Density functional theory data (GGA-PBE) for an optimized crystal structure of RbCe3Pr2Te6.

Cell lengths 10.299, 10.299, 9.333 Å; angles 103.42, 103.42, 25.39 degrees
Positions (direct):
Rb 0.000 0.000 0.000
Ce 0.000 0.000 0.500
Ce 0.337 0.337 0.171
Ce 0.663 0.663 0.829
Pr 0.328 0.328 0.655
Pr 0.672 0.672 0.345
Te 0.164 0.164 0.586
Te 0.174 0.174 0.088
Te 0.497 0.497 0.730
Te 0.503 0.503 0.270
Te 0.826 0.826 0.912
Te 0.836 0.836 0.414

Values from the calculation:
Formation energy from raw total energies, eV per atom: -1.34



[14]
Density functional theory data (GGA-PBE) for an optimized crystal structure of CsScCu3.

Cell lengths 5.243, 5.243, 5.243 Å; angles 90.00, 90.00, 90.00 degrees
Positions (direct):
Cs 0.000 0.000 0.000
Sc 0.500 0.500 0.500
Cu 0.000 0.000 0.500
Cu 0.000 0.500 0.000
Cu 0.500 0.000 0.000

Values from the calculation:
DFT formation energy, meV per atom: 1688



[15]
Density functional theory data (GGA-PBE) for an optimized crystal structure of Ag2Sb2Se.

Cell lengths 8.235, 8.235, 8.235 Å; angles 152.56, 152.56, 39.19 degrees
Positions (direct):
Ag 0.250 0.750 0.500
Ag 0.750 0.250 0.500
Sb 0.103 0.103 0.000
Sb 0.897 0.897 0.000
Se 0.500 0.500 0.000

Values from the calculation:
Formation energy from raw total energies, eV per atom: 0.21
Polymorph energy (0 for the lowest one), kJ/mol of formula units: 22



[16]
Density functional theory data (GGA-PBE) for an optimized crystal structure of Na3Sr7Rh2.

Cell lengths 14.975, 14.975, 5.917 Å; angles 90.00, 90.00, 157.14 degrees
Positions (direct):
Na 0.000 0.000 0.000
Na 0.203 0.797 0.000
Na 0.797 0.203 0.000
Sr 0.101 0.899 0.500
Sr 0.301 0.699 0.500
Sr 0.400 0.600 0.000
Sr 0.500 0.500 0.500
Sr 0.600 0.400 0.000
Sr 0.699 0.301 0.500
Sr 0.899 0.101 0.500
Rh 0.398 0.602 0.500
Rh 0.602 0.398 0.500

Values from the calculation:
DFT formation energy, meV per atom: -127



[17]
Density functional theory data (GGA-PBE) for an optimized crystal structure of HfNb3Ag.

Cell lengths 4.918, 4.918, 4.918 Å; angles 90.00, 90.00, 90.00 degrees
Positions (direct):
Hf 0.000 0.000 0.000
Nb 0.000 0.000 0.500
Nb 0.000 0.500 0.000
Nb 0.500 0.000 0.000
Ag 0.500 0.500 0.500

Values from the calculation:
DFT formation energy, meV per atom: 1674
Polymorph energy (0 for the lowest one), kJ/mol of formula units: 14



[18]
Density functional theory data (GGA-PBE) for an optimized crystal structure of YAl.

Cell lengths 6.299, 6.299, 6.299 Å; angles 42.07, 42.07, 42.07 degrees
Positions (direct):
Y 0.101 0.101 0.101
Y 0.899 0.899 0.899
Al 0.319 0.319 0.319
Al 0.681 0.681 0.681

Values from the calculation:
DFT formation energy, meV per atom: -253



[19]
Density functional theory data (GGA-PBE) for an optimized crystal structure of KLaIn3.

Cell lengths 5.670, 5.670, 5.670 Å; angles 90.00, 90.00, 90.00 degrees
Positions (direct):
K 0.000 0.000 0.000
La 0.500 0.500 0.500
In 0.000 0.000 0.500
In 0.000 0.500 0.000
In 0.500 0.000 0.000

Values from the calculation:
DFT formation energy, meV per atom: 565
Polymorph energy (0 for the lowest one), kJ/mol of formula units: 119



[20]
Density functional theory data (GGA-PBE) for an optimized crystal structure of YTlGa4.

Cell lengths 5.642, 5.642, 5.642 Å; angles 60.00, 60.00, 60.00 degrees
Positions (direct):
Y 0.000 0.000 0.000
Tl 0.750 0.750 0.750
Ga 0.375 0.375 0.375
Ga 0.375 0.375 0.876
Ga 0.375 0.876 0.375
Ga 0.876 0.375 0.375

Values from the calculation:
DFT formation energy, meV per atom: -207



no.,calculated density (Mg/m³),total DFT energy (no corrections) (eV per atom)
1,5.4,-5.29
2,9.3,-4.98
3,3.0,-3.31
4,6.3,-5.96
5,6.3,-4.63
6,4.5,-4.23
7,11.7,-7.61
8,4.8,-2.13
9,6.7,-6.17
10,11.4,-7.48
11,4.2,-4.85
12,7.7,-4.62
13,6.3,-5.27
14,4.2,-2.21
15,7.6,-3.28
16,2.9,-2.66
17,7.9,-6.93
18,3.8,-5.36
19,4.8,-2.28
20,7.5,-3.70